This record from OQMD describes a relaxed structure of GdMgZn. The functional is PBE-GGA.

Computed properties:
Total DFT energy (no corrections) (eV for the cell shown): -14.4
Magnetization (μB/f.u.): 0.2

Geometry as CIF:
```
data_GdMgZn
_chemical_formula_sum 'Gd2 Mg2 Zn2'
_symmetry_space_group_name_H-M 'P 1'
_symmetry_Int_Tables_number 1
_symmetry_space_group_name_Hall 'P 1'
_cell_length_a 3.671
_cell_length_b 3.671
_cell_length_c 12.630
_cell_angle_alpha 90.00
_cell_angle_beta 90.00
_cell_angle_gamma 120.00
loop_
_atom_site_label
_atom_site_type_symbol
_atom_site_fract_x
_atom_site_fract_y
_atom_site_fract_z
Mg1 Mg 0.333 0.667 0.913
Mg2 Mg 0.667 0.333 0.087
Zn1 Zn 0.000 0.000 0.224
Zn2 Zn 0.000 0.000 0.776
Gd1 Gd 0.667 0.333 0.390
Gd2 Gd 0.333 0.667 0.610
```